[1]
! PBE-GGA Pr4SnTe, optimized geometry; values from VASP
&SYSTEM
  ibrav = 0, nat = 12, ntyp = 3
/
ATOMIC_SPECIES
Pr 140.91 Pr.upf
Te 127.60 Te.upf
Sn 118.71 Sn.upf
CELL_PARAMETERS angstrom
5.734 -0.009 0.002
-0.012 7.991 -0.227
-2.855 -3.525 8.855
ATOMIC_POSITIONS crystal
Pr 0.180 0.545 0.860
Te 0.000 0.500 0.500
Pr 0.679 0.042 0.860
Pr 0.574 0.421 0.647
Sn 0.249 0.250 0.999
Pr 0.426 0.579 0.353
Pr 0.820 0.455 0.140
Sn 0.751 0.750 0.001
Pr 0.321 0.958 0.140
Pr 0.927 0.080 0.354
Te 0.500 0.000 0.500
Pr 0.073 0.920 0.646
! - uncorrected formation energy (eV per formula unit) = -3.3
! - total moment (μB/f.u.) = 0.00



[2]
! PBE-GGA Pr2SnTe, optimized geometry; values from VASP
&SYSTEM
  ibrav = 0, nat = 16, ntyp = 3
/
ATOMIC_SPECIES
Pr 140.91 Pr.upf
Te 127.60 Te.upf
Sn 118.71 Sn.upf
CELL_PARAMETERS angstrom
1.147 -0.134 -7.859
2.240 -6.897 3.094
-10.081 0.266 1.213
ATOMIC_POSITIONS crystal
Pr 0.179 0.434 0.375
Te 0.561 0.811 0.622
Pr 0.940 0.185 0.875
Te 0.686 0.436 0.872
Sn 0.811 0.061 0.121
Sn 0.189 0.939 0.879
Pr 0.435 0.690 0.875
Pr 0.821 0.566 0.625
Sn 0.936 0.686 0.371
Pr 0.696 0.941 0.375
Pr 0.565 0.310 0.125
Te 0.439 0.189 0.378
Pr 0.060 0.815 0.125
Te 0.314 0.564 0.128
Sn 0.064 0.314 0.629
Pr 0.304 0.059 0.625
! - uncorrected formation energy (eV per formula unit) = -4.6
! - total moment (μB/f.u.) = 0.00
! - E above lowest polymorph (meV/atom) = 0



[3]
! PBE-GGA Pr2SnTe, optimized geometry; values from VASP
&SYSTEM
  ibrav = 0, nat = 4, ntyp = 3
/
ATOMIC_SPECIES
Pr 140.91 Pr.upf
Sn 118.71 Sn.upf
Te 127.60 Te.upf
CELL_PARAMETERS angstrom
4.501 0.000 0.000
2.251 3.898 0.000
2.251 1.299 7.821
ATOMIC_POSITIONS crystal
Pr 0.078 0.078 0.766
Sn 0.668 0.668 0.997
Te 0.498 0.498 0.505
Pr 0.256 0.256 0.232
! - uncorrected formation energy (eV per formula unit) = -4.2
! - total moment (μB/f.u.) = 0.00
! - E above lowest polymorph (meV/atom) = 97



[4]
! PBE-GGA Pr2SnTe, optimized geometry; values from VASP
&SYSTEM
  ibrav = 0, nat = 8, ntyp = 3
/
ATOMIC_SPECIES
Sn 118.71 Sn.upf
Pr 140.91 Pr.upf
Te 127.60 Te.upf
CELL_PARAMETERS angstrom
-2.800 0.609 -3.524
4.176 -3.036 -3.843
-4.093 -7.997 1.870
ATOMIC_POSITIONS crystal
Sn 0.500 0.000 0.626
Pr 0.000 0.000 0.378
Pr 0.500 0.500 0.622
Sn 0.000 0.500 0.374
Te 0.000 0.500 0.878
Pr 0.500 0.500 0.133
Te 0.500 0.000 0.122
Pr 0.000 0.000 0.867
! - uncorrected formation energy (eV per formula unit) = -4.5
! - total moment (μB/f.u.) = 0.00
! - E above lowest polymorph (meV/atom) = 9



Among the records above, which one has the lowest uncorrected formation energy?
number 2